This record from the Alexandria database describes an optimized crystal structure of Ba3ZrV2O9. The functional is PBE with a Hubbard U.

Lattice parameters (Å, degrees): 5.7980 5.7980 7.0390 90.00 90.00 120.00
Space group P-3m1 (No. 164)
Inequivalent atoms, fractional coordinates:
Ba (0.0000, 0.0000, 0.0000)
Ba (0.3333, 0.6667, 0.6740)
Zr (0.0000, 0.0000, 0.5000)
V (0.3333, 0.6667, 0.1617)
O (0.0000, 0.5000, 0.0000)
O (0.1721, 0.3441, 0.3238)

Output
Calculated density: 6.07 g/cm3
Uncorrected energy: -113.93 eV/cell